Here is a geometry-optimized AlAgN2F structure from Alexandria. Energies are from PBE-GGA.

Unit cell a=4.0782 b=4.0782 c=4.1798 alpha=90.00 beta=90.00 gamma=90.00
Last column: nearest neighbours and their distance in Å.
Space group P4/mmm (No. 123)
One atom of each set of equivalent atoms:
Al1 0.0000 0.0000 0.0000  4 F 2.88, 8 N 2.92
Ag1 0.5000 0.5000 0.5000  4 N 2.04, 2 F 2.09
N1 0.0000 0.5000 0.5000  2 Ag 2.04
F1 0.5000 0.5000 0.0000  2 Ag 2.09

total magnetic moment: 1.2 μB/cell
electronic total energy: -3.816 eV per atom
density of states at the Fermi level: 2.62 states/eV/f.u.
energy relative to the elements, uncorrected: 1.21 eV/atom

Here is a geometry-optimized AlAgNF2 structure from Alexandria. Energies are from PBE-GGA.

Unit cell a=3.6502 b=3.6502 c=4.1336 alpha=90.00 beta=90.00 gamma=90.00
Last column: nearest neighbours and their distance in Å.
Space group P4/mmm (No. 123)
One atom of each set of equivalent atoms:
Al1 0.0000 0.0000 0.0000  4 F 1.83
Ag1 0.5000 0.5000 0.5000  4 N 2.58, 8 F 2.76
N1 0.0000 0.0000 0.5000  2 Al 2.07
F1 0.0000 0.5000 0.0000  2 Al 1.83

total magnetic moment: 0.0 μB/cell
electronic total energy: -5.050 eV per atom
density of states at the Fermi level: 0.87 states/eV/f.u.
energy relative to the elements, uncorrected: -1.32 eV/atom

Here is a geometry-optimized AlAgN2F structure from Alexandria. Energies are from PBE-GGA.

Unit cell a=4.0385 b=4.0385 c=5.6312 alpha=90.00 beta=90.00 gamma=90.00
Last column: nearest neighbours and their distance in Å.
Space group P4/mmm (No. 123)
One atom of each set of equivalent atoms:
Al1 0.0000 0.0000 0.0000  2 Ag 2.82, 4 F 2.86
Ag1 0.0000 0.0000 0.5000  4 N 2.02
N1 0.0000 0.5000 0.5000  2 Ag 2.02
F1 0.5000 0.5000 0.0000  4 Al 2.86

total magnetic moment: 3.7 μB/cell
electronic total energy: -3.712 eV per atom
density of states at the Fermi level: 1.38 states/eV/f.u.
energy relative to the elements, uncorrected: 1.31 eV/atom

Here is a geometry-optimized AlAgN2F structure from Alexandria. Energies are from PBE-GGA.

Unit cell a=3.8743 b=3.8743 c=3.7128 alpha=90.00 beta=90.00 gamma=90.00
Last column: nearest neighbours and their distance in Å.
Space group P4/mmm (No. 123)
One atom of each set of equivalent atoms:
Al1 0.0000 0.0000 0.0000  2 F 1.86, 4 N 1.94
Ag1 0.5000 0.5000 0.5000  8 N 2.68, 4 F 2.74
N1 0.0000 0.5000 0.0000  2 Al 1.94
F1 0.0000 0.0000 0.5000  2 Al 1.86

total magnetic moment: 1.2 μB/cell
electronic total energy: -5.079 eV per atom
density of states at the Fermi level: 2.19 states/eV/f.u.
energy relative to the elements, uncorrected: -0.06 eV/atom

Here is a geometry-optimized AlAgNF2 structure from Alexandria. Energies are from PBE-GGA.

Unit cell a=4.5241 b=4.5241 c=4.0656 alpha=90.00 beta=90.00 gamma=90.00
Last column: nearest neighbours and their distance in Å.
Space group P4/mmm (No. 123)
One atom of each set of equivalent atoms:
Al1 0.0000 0.0000 0.0000  8 F 3.04, 4 N 3.20
Ag1 0.5000 0.5000 0.5000  2 N 2.03, 4 F 2.26
N1 0.5000 0.5000 0.0000  2 Ag 2.03
F1 0.0000 0.5000 0.5000  2 Ag 2.26

total magnetic moment: 2.2 μB/cell
electronic total energy: -3.657 eV per atom
density of states at the Fermi level: 1.71 states/eV/f.u.
energy relative to the elements, uncorrected: 0.08 eV/atom

Here is a geometry-optimized NaAlAgF6 structure from Alexandria. Energies are from PBE-GGA.

Unit cell a=4.9155 b=4.9155 c=9.7939 alpha=90.00 beta=90.00 gamma=90.00
Last column: nearest neighbours and their distance in Å.
Space group P4_2nm (No. 102)
One atom of each set of equivalent atoms:
Na1 0.0000 0.0000 0.0000  6 F 2.25-2.30
Al1 0.0000 0.0000 0.6637  6 F 1.83-1.85
Ag1 0.0000 0.0000 0.3267  6 F 2.24-2.32
F1 0.1789 0.1789 0.5264  1 Al 1.83
F2 0.1798 0.1798 0.8030  1 Al 1.85
F3 0.2358 0.2358 0.1646  1 Al 1.84

total magnetic moment: 2.0 μB/cell
electronic total energy: -4.677 eV per atom
density of states at the Fermi level: 5.40 states/eV/f.u.
energy relative to the elements, uncorrected: -2.55 eV/atom

Here is a geometry-optimized NaAlAg2F8 structure from Alexandria. Energies are from PBE-GGA.

Unit cell a=4.9929 b=4.9938 c=6.8247 alpha=85.62 beta=86.11 gamma=87.46
Last column: nearest neighbours and their distance in Å.
Space group P-1 (No. 2)
One atom of each set of equivalent atoms:
Na1 0.0000 0.0000 0.0000  6 F 2.25-2.42
Al1 0.0000 0.0000 0.5000  6 F 1.83-1.85
Ag1 0.4776 0.4781 0.2613  4 F 2.06-2.24
F1 0.1659 0.8059 0.6992  1 Al 1.83
F2 0.1860 0.8267 0.3029  1 Al 1.83
F3 0.2626 0.2518 0.4920  1 Al 1.85
F4 0.3191 0.3075 0.9684  1 Ag 2.06, 1 Na 2.25

total magnetic moment: 2.0 μB/cell
electronic total energy: -4.329 eV per atom
density of states at the Fermi level: 1.66 states/eV/f.u.
energy relative to the elements, uncorrected: -2.18 eV/atom